Entry 1:
Tb3ZnH | PBE-GGA | optimized geometry

Output
VASP energy ... -3.8704 eV/atom

a = 4.7806 Å, b = 4.7806 Å, c = 4.7806 Å
α = 90.00°, β = 90.00°, γ = 90.00°
Space group Pm-3m (No. 221)
Symmetry-distinct sites (fractional):
Tb  0.0000  0.0000  0.5000 [3 per cell]
Zn  0.5000  0.5000  0.5000 [1 per cell]
H  0.0000  0.0000  0.0000 [1 per cell]

---

Entry 2:
LiSmY2S4 | PBE-GGA | optimized geometry

Output
VASP energy ... -6.4470 eV/atom

a = 6.7935 Å, b = 3.9164 Å, c = 6.7982 Å
α = 90.00°, β = 109.35°, γ = 90.00°
Space group P2/m (No. 10)
Symmetry-distinct sites (fractional):
Li  0.0000  0.0000  0.0000 [1 per cell]
Sm  0.5000  0.5000  0.0000 [1 per cell]
Y  0.0000  0.5000  0.5000 [1 per cell]
Y  0.5000  0.0000  0.5000 [1 per cell]
S  0.2412  0.0000  0.7482 [2 per cell]
S  0.2444  0.5000  0.2496 [2 per cell]

---

Entry 3:
TlAgSCl2 | PBE-GGA | optimized geometry

Output
Relative energy among the computed polymorphs ... 1.37 eV/f.u.

a = 5.3504 Å, b = 5.3504 Å, c = 5.1011 Å
α = 90.00°, β = 90.00°, γ = 90.00°
Space group P4/mmm (No. 123)
Symmetry-distinct sites (fractional):
Tl  0.0000  0.0000  0.0000 [1 per cell]
Ag  0.5000  0.5000  0.5000 [1 per cell]
S  0.0000  0.0000  0.5000 [1 per cell]
Cl  0.0000  0.5000  0.0000 [2 per cell]

---

Entry 4:
Cs2PI | PBE-GGA | optimized geometry

Output
Relative energy among the computed polymorphs ... 0.00 eV/f.u.

a = 11.0812 Å, b = 9.2810 Å, c = 9.4134 Å
α = 90.00°, β = 115.01°, γ = 90.00°
Space group P2_1/c (No. 14)
Symmetry-distinct sites (fractional):
Cs  0.1411  0.2487  0.3209 [4 per cell]
Cs  0.3346  0.7495  0.4182 [4 per cell]
P  0.0845  0.5640  0.5422 [4 per cell]
I  0.3924  0.0718  0.6966 [4 per cell]

---

Entry 5:
MnTc2Rh | PBE-GGA | optimized geometry

Output
Energy relative to the elements ... 0.1609 eV per atom
Relative energy among the computed polymorphs ... 0.75 eV/f.u.

a = 6.1228 Å, b = 6.1228 Å, c = 6.1228 Å
α = 90.00°, β = 90.00°, γ = 90.00°
Space group F-43m (No. 216)
Symmetry-distinct sites (fractional):
Mn  0.0000  0.0000  0.0000 [4 per cell]
Tc  0.0000  0.0000  0.5000 [4 per cell]
Tc  0.2500  0.2500  0.7500 [4 per cell]
Rh  0.2500  0.2500  0.2500 [4 per cell]

---

Entry 6:
KTiMn3 | PBE-GGA | optimized geometry

Output
Energy relative to the elements ... 1.0801 eV per atom
Relative energy among the computed polymorphs ... 0.00 eV/f.u.

a = 4.8936 Å, b = 4.8936 Å, c = 4.8936 Å
α = 90.00°, β = 90.00°, γ = 90.00°
Space group Pm-3m (No. 221)
Symmetry-distinct sites (fractional):
K  0.0000  0.0000  0.0000 [1 per cell]
Ti  0.5000  0.5000  0.5000 [1 per cell]
Mn  0.0000  0.5000  0.5000 [3 per cell]

---

Entry 7:
Tb2TmTh2 | PBE-GGA | optimized geometry

Output
Energy relative to the elements ... 0.2113 eV per atom
Relative energy among the computed polymorphs ... 0.00 eV/f.u.

a = 8.4217 Å, b = 16.1666 Å, c = 6.1165 Å
α = 90.00°, β = 126.01°, γ = 90.00°
Space group C2/c (No. 15)
Symmetry-distinct sites (fractional):
Tb  0.2374  0.0704  0.0676 [8 per cell]
Tm  0.0000  0.3974  0.2500 [4 per cell]
Th  0.1078  0.2189  0.5936 [8 per cell]

---

Entry 8:
Ba3AgAu | PBE-GGA | optimized geometry

Output
Energy relative to the elements ... -0.1830 eV per atom
Relative energy among the computed polymorphs ... 1.07 eV/f.u.

a = 6.3287 Å, b = 6.3287 Å, c = 6.3287 Å
α = 90.00°, β = 90.00°, γ = 90.00°
Space group Pm-3m (No. 221)
Symmetry-distinct sites (fractional):
Ba  0.0000  0.0000  0.5000 [3 per cell]
Ag  0.5000  0.5000  0.5000 [1 per cell]
Au  0.0000  0.0000  0.0000 [1 per cell]